Entry 1:
Entry from the Alexandria database: a relaxed CuTe2Au crystal (PBEsol).

Properties
The energy relative to the elements, uncorrected comes out at -0.01 eV/atom.

Cell: 7.6271 3.9146 6.3146 Å, 90.00 110.18 90.00°
Closest atoms and distances in Å follow each position.
Space group Cm (No. 8)
Unique sites:
Cu 0.0000 0.0000 0.0000 x2  3 Te 2.54-2.72, 3 Au 2.57-2.74
Te 0.2539 0.5000 0.1862 x2  3 Cu 2.54-2.72
Te 0.4793 0.0000 0.5751 x2  3 Au 2.66-2.82
Au 0.2440 0.0000 0.8026 x2  3 Cu 2.57-2.74, 3 Te 2.66-2.82

***

Entry 2:
Entry from the Alexandria database: a relaxed MoIrS2 crystal (PBEsol).

Properties
The energy relative to the elements, uncorrected comes out at 0.24 eV/atom.

Cell: 3.2096 3.2096 22.4368 Å, 90.00 90.00 120.00°
Closest atoms and distances in Å follow each position.
Space group R-3m (No. 166, hexagonal axes)
Unique sites:
Mo 0.0000 0.0000 0.0000 x3  2 S 2.30
Ir 0.0000 0.0000 0.5000 x3  6 S 2.35
S 0.0000 0.0000 0.1024 x6  1 Mo 2.30, 3 Ir 2.35

***

Entry 3:
Entry from the Alexandria database: a relaxed AgMo2Au crystal (PBEsol).

Properties
As for the energy above the lowest structure with this stoichiometry: 47 meV per atom. The calculation puts the energy of formation from the pure elements at 131.9 kJ/mol of formula units.

Cell: 3.7783 3.7783 8.7871 Å, 90.00 90.00 90.00°
Closest atoms and distances in Å follow each position.
Space group I4/mmm (No. 139)
Unique sites:
Ag 0.0000 0.0000 0.0000 x2  4 Au 2.67, 8 Mo 2.90
Mo 0.0000 0.5000 0.2500 x4  4 Mo 2.67, 4 Ag 2.90, 4 Au 2.90
Au 0.0000 0.0000 0.5000 x2  4 Ag 2.67, 8 Mo 2.90

***

Entry 4:
Entry from the Alexandria database: a relaxed RbScAgP2 crystal (PBEsol).

Properties
The calculation puts the energy of formation from the pure elements at 344.1 kJ/mol of formula units.

Cell: 4.9203 4.9203 5.1780 Å, 90.00 90.00 90.00°
Closest atoms and distances in Å follow each position.
Space group P4/mmm (No. 123)
Unique sites:
Rb 0.0000 0.0000 0.0000 x1  2 Ag 2.59
Sc 0.5000 0.5000 0.0000 x1  4 Rb 3.48, 8 P 3.57
Ag 0.0000 0.0000 0.5000 x1  4 P 2.46, 2 Rb 2.59
P 0.0000 0.5000 0.5000 x2  2 Ag 2.46

***

Entry 5:
Entry from the Alexandria database: a relaxed TlRu3 crystal (PBEsol).

Properties
As for the energy above the lowest structure with this stoichiometry: 32 meV per atom. The calculation puts the energy of formation from the pure elements at 196.7 kJ/mol of formula units.

Cell: 2.7776 3.7407 5.9055 Å, 90.00 90.00 90.00°
Closest atoms and distances in Å follow each position.
Space group Pmmm (No. 47)
Unique sites:
Tl 0.0000 0.0000 0.0000 x1  2 Tl 2.78, 10 Ru 2.87-2.95
Ru 0.0000 0.0000 0.5000 x1  10 Ru 2.66-2.78, 2 Tl 2.95
Ru 0.5000 0.5000 0.2834 x2  7 Ru 2.56-2.78

***

Entry 6:
Entry from the Alexandria database: a relaxed Zn2Cr5P6O24 crystal (PBEsol).

Properties
The energy relative to the elements, uncorrected comes out at -2.03 eV/atom.

Cell: 6.2922 7.8136 9.2643 Å, 105.05 108.14 101.45°
Closest atoms and distances in Å follow each position.
Space group P-1 (No. 2)
Unique sites:
Zn 0.2069 0.1851 0.2054 x2  5 O 1.97-2.10
Cr 0.1188 0.5418 0.3906 x2  6 O 1.88-2.07
Cr 0.4517 0.2856 0.9790 x2  6 O 1.89-2.09
Cr 0.5000 0.0000 0.5000 x1  4 O 1.96-2.12
P 0.1069 0.7645 0.1312 x2  4 O 1.52-1.57
P 0.2777 0.8578 0.7339 x2  4 O 1.51-1.58
P 0.4076 0.4043 0.6661 x2  4 O 1.50-1.57
O 0.0446 0.7365 0.7279 x2  1 P 1.56
O 0.0523 0.6265 0.2136 x2  1 P 1.52
O 0.1313 0.2390 0.9940 x2  1 P 1.57
O 0.1844 0.4566 0.5808 x2  1 P 1.57
O 0.2295 0.9630 0.2650 x2  1 P 1.57
O 0.2537 0.7171 0.0328 x2  1 P 1.52
O 0.2815 0.8082 0.5583 x2  1 P 1.58
O 0.2946 0.0604 0.7983 x2  1 P 1.51
O 0.3783 0.4637 0.3415 x2  1 P 1.56
O 0.3850 0.2051 0.5823 x2  1 P 1.50
O 0.4301 0.4500 0.8457 x2  1 P 1.56
O 0.4887 0.8137 0.8432 x2  1 P 1.56

***

Entry 7:
Entry from the Alexandria database: a relaxed AlZnIr crystal (PBEsol).

Properties
The calculation puts the energy of formation from the pure elements at -108.9 kJ/mol of formula units.

Cell: 4.1351 4.1351 2.8031 Å, 90.00 90.00 120.00°
Closest atoms and distances in Å follow each position.
Space group P3m1 (No. 156)
Unique sites:
Al 0.0000 0.0000 0.0000 x1  3 Zn 2.53, 3 Ir 2.54, 2 Al 2.80
Zn 0.6667 0.3333 0.2978 x1  3 Al 2.53, 3 Ir 2.63, 2 Zn 2.80
Ir 0.3333 0.6667 0.6948 x1  3 Al 2.54, 3 Zn 2.63, 2 Ir 2.80

***

Entry 8:
Entry from the Alexandria database: a relaxed La2BeB crystal (PBEsol).

Properties
As for the energy above the lowest structure with this stoichiometry: 294 meV per atom. The calculation puts the energy of formation from the pure elements at 246.4 kJ/mol of formula units.

Cell: 7.5522 7.5522 6.5744 Å, 90.00 90.00 90.00°
Closest atoms and distances in Å follow each position.
Space group I-42d (No. 122)
Unique sites:
La 0.1962 0.2500 0.1250 x8  2 B 2.54
Be 0.0000 0.0000 0.5000 x4  8 La 3.08-3.44, 2 B 3.29
B 0.0000 0.0000 0.0000 x4  4 La 2.54

***

Number 1: energy -15.34 eV per formula unit. Number 2: energy -29.39 eV per formula unit. Number 3: energy -29.40 eV per formula unit. Number 4: energy -18.96 eV per formula unit. Number 5: energy -31.11 eV per formula unit. Number 6: energy -290.21 eV per formula unit. Number 7: energy -16.63 eV per formula unit. Number 8: energy -19.16 eV per formula unit.